Entry 1:
VASP calculation (PBE-GGA) on a relaxed CsGaHg crystal.

Unit cell a=8.432 b=8.432 c=8.432 alpha=90.00 beta=90.00 gamma=90.00
Sites, in units of the cell vectors:
Cs: 0.000 0.000 0.000
Cs: 0.000 0.500 0.500
Cs: 0.500 0.000 0.500
Cs: 0.500 0.500 0.000
Ga: 0.250 0.250 0.750
Ga: 0.250 0.750 0.250
Ga: 0.750 0.250 0.250
Ga: 0.750 0.750 0.750
Hg: 0.250 0.250 0.250
Hg: 0.250 0.750 0.750
Hg: 0.750 0.250 0.750
Hg: 0.750 0.750 0.250

Results
V ... 599 Å³ per cell
Space-group type ... F-43m
Calculated total energy ... -0.973 eV per atom



Entry 2:
VASP calculation (PBE-GGA) on a relaxed CsGaHg crystal.

Unit cell a=8.087 b=8.087 c=8.087 alpha=90.00 beta=90.00 gamma=90.00
Sites, in units of the cell vectors:
Cs: 0.000 0.000 0.000
Cs: 0.000 0.500 0.500
Cs: 0.500 0.000 0.500
Cs: 0.500 0.500 0.000
Ga: 0.000 0.000 0.500
Ga: 0.000 0.500 0.000
Ga: 0.500 0.000 0.000
Ga: 0.500 0.500 0.500
Hg: 0.250 0.250 0.250
Hg: 0.250 0.750 0.750
Hg: 0.750 0.250 0.750
Hg: 0.750 0.750 0.250

Results
V ... 529 Å³ per cell
Space-group type ... F-43m
Calculated total energy ... -1.168 eV per atom



Entry 3:
VASP calculation (PBE-GGA) on a relaxed CsHoGaSe3 crystal.

Unit cell a=8.193 b=8.193 c=10.941 alpha=90.00 beta=90.00 gamma=147.60
Sites, in units of the cell vectors:
Cs: 0.246 0.754 0.750
Cs: 0.754 0.246 0.250
Ho: 0.500 0.500 0.000
Ho: 0.500 0.500 0.500
Ga: 0.017 0.983 0.250
Ga: 0.983 0.017 0.750
Se: 0.112 0.888 0.060
Se: 0.112 0.888 0.440
Se: 0.444 0.556 0.250
Se: 0.556 0.444 0.750
Se: 0.888 0.112 0.560
Se: 0.888 0.112 0.940

Results
M_tot ... 0.006 μB/f.u.
V ... 394 Å³ per cell
Space-group type ... Cmcm
Calculated total energy ... -4.403 eV per atom



Entry 4:
VASP calculation (PBE-GGA) on a relaxed CsHoGaTe3 crystal.

Unit cell a=8.631 b=8.631 c=11.683 alpha=90.00 beta=90.00 gamma=147.50
Sites, in units of the cell vectors:
Cs: 0.248 0.752 0.750
Cs: 0.752 0.248 0.250
Ho: 0.500 0.500 0.000
Ho: 0.500 0.500 0.500
Ga: 0.020 0.980 0.250
Ga: 0.980 0.020 0.750
Te: 0.117 0.883 0.057
Te: 0.117 0.883 0.443
Te: 0.439 0.561 0.250
Te: 0.561 0.439 0.750
Te: 0.883 0.117 0.557
Te: 0.883 0.117 0.943

Results
M_tot ... 0.001 μB/f.u.
V ... 468 Å³ per cell
Space-group type ... Cmcm
Calculated total energy ... -3.946 eV per atom



Entry 5:
VASP calculation (PBE-GGA) on a relaxed CsGaIr crystal.

Unit cell a=6.906 b=6.906 c=6.906 alpha=90.00 beta=90.00 gamma=90.00
Sites, in units of the cell vectors:
Cs: 0.000 0.000 0.000
Cs: 0.000 0.500 0.500
Cs: 0.500 0.000 0.500
Cs: 0.500 0.500 0.000
Ga: 0.000 0.000 0.500
Ga: 0.000 0.500 0.000
Ga: 0.500 0.000 0.000
Ga: 0.500 0.500 0.500
Ir: 0.250 0.250 0.250
Ir: 0.250 0.750 0.750
Ir: 0.750 0.250 0.750
Ir: 0.750 0.750 0.250

Results
M_tot ... 0.077 μB/f.u.
V ... 329 Å³ per cell
Space-group type ... F-43m
Calculated total energy ... -3.371 eV per atom



Entry 6:
VASP calculation (PBE-GGA) on a relaxed CsNbGa crystal.

Unit cell a=7.894 b=7.894 c=7.894 alpha=90.00 beta=90.00 gamma=90.00
Sites, in units of the cell vectors:
Cs: 0.000 0.000 0.000
Cs: 0.000 0.500 0.500
Cs: 0.500 0.000 0.500
Cs: 0.500 0.500 0.000
Nb: 0.250 0.250 0.250
Nb: 0.250 0.750 0.750
Nb: 0.750 0.250 0.750
Nb: 0.750 0.750 0.250
Ga: 0.250 0.250 0.750
Ga: 0.250 0.750 0.250
Ga: 0.750 0.250 0.250
Ga: 0.750 0.750 0.750

Results
M_tot ... 4.924 μB/f.u.
V ... 492 Å³ per cell
Space-group type ... F-43m
Calculated total energy ... -2.590 eV per atom



Entry 7:
VASP calculation (PBE-GGA) on a relaxed CsNdGa crystal.

Unit cell a=7.564 b=7.564 c=7.564 alpha=90.00 beta=90.00 gamma=90.00
Sites, in units of the cell vectors:
Cs: 0.000 0.000 0.000
Cs: 0.000 0.500 0.500
Cs: 0.500 0.000 0.500
Cs: 0.500 0.500 0.000
Nd: 0.250 0.250 0.250
Nd: 0.250 0.750 0.750
Nd: 0.750 0.250 0.750
Nd: 0.750 0.750 0.250
Ga: 0.250 0.250 0.750
Ga: 0.250 0.750 0.250
Ga: 0.750 0.250 0.250
Ga: 0.750 0.750 0.750

Results
M_tot ... 0.004 μB/f.u.
V ... 433 Å³ per cell
Space-group type ... F-43m
Calculated total energy ... -2.049 eV per atom



Entry 8:
VASP calculation (PBE-GGA) on a relaxed CsNdGaSe3 crystal.

Unit cell a=8.143 b=8.143 c=11.376 alpha=90.00 beta=90.00 gamma=146.77
Sites, in units of the cell vectors:
Cs: 0.245 0.755 0.750
Cs: 0.755 0.245 0.250
Nd: 0.500 0.500 0.000
Nd: 0.500 0.500 0.500
Ga: 0.019 0.981 0.250
Ga: 0.981 0.019 0.750
Se: 0.116 0.884 0.068
Se: 0.116 0.884 0.432
Se: 0.445 0.555 0.250
Se: 0.555 0.445 0.750
Se: 0.884 0.116 0.568
Se: 0.884 0.116 0.932

Results
M_tot ... 0.003 μB/f.u.
V ... 413 Å³ per cell
Space-group type ... Cmcm
Calculated total energy ... -4.452 eV per atom